No. 1
VASP calculation (PBE) on a relaxed structure of Cu3TePd4.

Unit cell a=4.6310 b=4.6311 c=6.7380 alpha=114.17 beta=114.17 gamma=79.04
Element x y z (fractional)
Pd 0.3719 0.3723 0.7446
Pd 0.8727 0.8724 0.7446
Pd 0.1273 0.1276 0.2554
Pd 0.6281 0.6277 0.2554
Cu 0.2428 0.7420 0.4845
Cu 0.0000 0.5000 0.0000
Cu 0.7572 0.2580 0.5155
Te 0.5000 0.0000 0.0000



No. 2
VASP calculation (PBE) on a relaxed structure of Cu6TePd8.

Unit cell a=6.2149 b=6.2149 c=6.2149 alpha=81.34 beta=81.34 gamma=81.34
Element x y z (fractional)
Pd 0.6133 0.9305 0.1810
Pd 0.8190 0.3867 0.0695
Pd 0.0695 0.8190 0.3867
Pd 0.7682 0.7682 0.7682
Pd 0.2318 0.2318 0.2318
Pd 0.9305 0.1810 0.6133
Pd 0.1810 0.6133 0.9305
Pd 0.3867 0.0695 0.8190
Cu 0.4400 0.5762 0.2178
Cu 0.5600 0.4238 0.7822
Cu 0.7822 0.5600 0.4238
Cu 0.4238 0.7822 0.5600
Cu 0.5762 0.2178 0.4400
Cu 0.2178 0.4400 0.5762
Te 0.0000 0.0000 0.0000



Here are the calculated raw formation energy numbers, same order: -0.1573 0.0041 (eV/atom).